Record 1
Density functional theory data (PBE) for a relaxed Fe2Mo2Os crystal.

Calculated values
- Symmetry: P4/mbm (127)
- Excess energy over the best structure of this formula in the dataset: 0.0000 eV per atom

Lattice parameters (Å, degrees): 6.766 6.766 2.928 90.00 90.00 90.00
Sites, in units of the cell vectors:
Mo (0.175, 0.675, 0.500)
Mo (0.675, 0.825, 0.500)
Mo (0.825, 0.325, 0.500)
Mo (0.325, 0.175, 0.500)
Os (0.000, 0.000, 0.000)
Os (0.500, 0.500, 0.000)
Fe (0.374, 0.874, 0.000)
Fe (0.874, 0.626, 0.000)
Fe (0.626, 0.126, 0.000)
Fe (0.126, 0.374, 0.000)


Record 2
Density functional theory data (PBE) for a relaxed Pr3Ga3Pt crystal.

Calculated values
- Symmetry: Imm2 (44)

Lattice parameters (Å, degrees): 4.489 3.978 10.249 101.19 102.65 90.00
Sites, in units of the cell vectors:
Pr (0.318, 0.818, 0.636)
Pr (0.689, 0.189, 0.379)
Pr (0.997, 0.997, 0.994)
Ga (0.140, 0.640, 0.280)
Ga (0.860, 0.360, 0.721)
Ga (0.563, 0.563, 0.126)
Pt (0.433, 0.433, 0.865)


Number 1: ΔE_f 16 kJ/mol of atoms. Number 2: ΔE_f -70 kJ/mol of atoms.